Li2Hg after structural relaxation. Source: Alexandria via LeMat-Bulk, functional PBE.

## Properties
- Raw total energy: -5.03 eV/cell
- Space-group type: I4/mmm, No. 139
- Calculated volume: 54.0 Å³ per cell

Cell and atoms, written as POSCAR:
```
Li2Hg
1.0
-1.7307 1.7307 4.5041
1.7307 -1.7307 4.5041
1.7307 1.7307 -4.5041
Li Hg
2 1
direct
0.1627 0.1627 0.0000 Li
0.8373 0.8373 0.0000 Li
0.5000 0.5000 0.0000 Hg
```